[1]
VASP calculation (PBE-GGA) on crystalline Pr2NdNi2B2P3 at its relaxed geometry.

Cell: 11.2569 11.2569 11.2569 Å, 159.16 159.16 29.64°
Last column: nearest neighbours and their distance in Å.
Element x y z (fractional)
Pr  0.1398  0.1398  0.0000  5 P 2.89-3.04, 1 B 3.05, 4 Ni 3.15
Pr  0.8602  0.8602  0.0000  5 P 2.89-3.04, 1 B 3.05, 4 Ni 3.15
Nd  0.5000  0.5000  0.0000  6 P 2.85-2.88
Ni  0.2500  0.7500  0.5000  4 B 2.14
Ni  0.7500  0.2500  0.5000  4 B 2.14
B  0.2799  0.2799  0.0000  1 P 1.94, 4 Ni 2.14
B  0.7201  0.7201  0.0000  1 P 1.94, 4 Ni 2.14
P  0.0000  0.0000  0.0000  4 Nd 2.88, 2 Pr 3.04
P  0.3690  0.3690  0.0000  1 B 1.94
P  0.6310  0.6310  0.0000  1 B 1.94

Total DFT energy (no corrections), eV/atom: -6.3596
Symmetry: No. 139
Total magnetic moment, μB per cell: 0.01



[2]
VASP calculation (PBE-GGA) on crystalline AlReTc at its relaxed geometry.

Cell: 4.1707 4.1707 4.1707 Å, 60.00 60.00 60.00°
Last column: nearest neighbours and their distance in Å.
Element x y z (fractional)
Al  0.0000  0.0000  0.0000  4 Tc 2.55
Re  0.5000  0.5000  0.5000  4 Tc 2.55
Tc  0.2500  0.2500  0.2500  4 Re 2.55, 4 Al 2.55

Total DFT energy (no corrections), eV/atom: -8.6679
Energy above the most stable polymorph in this dataset, kJ/mol of formula units: 0
Symmetry: No. 216
Total magnetic moment, μB per cell: 0.01